The following is a PBE-GGA calculation of a relaxed structure of Ac2B3Rh4, from the Alexandria database.

The calculation puts the calculated formation energy at -274 meV/atom. For the total DFT energy (no corrections), the calculation gives -6.680 eV/atom.

The structure belongs to space group Fmmm (No. 69); the cell edges are 5.7025, 9.3269 and 12.0947 Å and the angles 90.00°, 90.00° and 90.00°. The inequivalent atoms are Ac at (0.0000, 0.0000, 0.1490), B at (0.0000, 0.0000, 0.5000), B at (0.2500, 0.2500, 0.0000) and Rh at (0.0000, 0.1699, 0.3861).